[1]
First-principles (PBE) data for Na2CaPbO4 after structural relaxation, as listed in Alexandria.

Lattice parameters (Å, degrees): 5.858 3.413 5.931 90.00 109.15 90.00
Fractional coordinates of all 8 atoms:
Na 0.000 0.000 0.000
Na 0.500 0.500 0.000
Ca 0.000 0.500 0.500
Pb 0.500 0.000 0.500
O 0.261 0.000 0.714
O 0.268 0.500 0.274
O 0.732 0.500 0.726
O 0.739 0.000 0.286

Results
**Total magnetic moment**: 0.00 μB/f.u.
**Uncorrected formation energy**: -1.723 eV per atom

---

[2]
First-principles (PBE) data for Na3Ca2PbO6 after structural relaxation, as listed in Alexandria.

Lattice parameters (Å, degrees): 5.934 5.934 5.901 99.71 99.71 119.99
Fractional coordinates of all 12 atoms:
Na 0.000 0.000 0.000
Na 0.336 0.664 0.000
Na 0.664 0.336 0.000
Ca 0.167 0.833 0.500
Ca 0.833 0.167 0.500
Pb 0.500 0.500 0.500
O 0.110 0.425 0.276
O 0.258 0.258 0.719
O 0.425 0.110 0.276
O 0.575 0.890 0.724
O 0.742 0.742 0.281
O 0.890 0.575 0.724

Results
**Total magnetic moment**: 1.14 μB/f.u.
**Uncorrected formation energy**: -1.773 eV per atom

---

[3]
First-principles (PBE) data for Na2CaPb2O6 after structural relaxation, as listed in Alexandria.

Lattice parameters (Å, degrees): 5.885 5.885 6.017 99.22 99.22 120.37
Fractional coordinates of all 11 atoms:
Na 0.171 0.829 0.000
Na 0.829 0.171 0.000
Ca 0.000 0.000 0.500
Pb 0.336 0.664 0.500
Pb 0.664 0.336 0.500
O 0.056 0.420 0.710
O 0.276 0.276 0.297
O 0.420 0.056 0.710
O 0.580 0.944 0.290
O 0.724 0.724 0.703
O 0.944 0.580 0.290

Results
**Total magnetic moment**: 0.00 μB/f.u.
**Uncorrected formation energy**: -1.496 eV per atom

---

[4]
First-principles (PBE) data for NaCaPbO3 after structural relaxation, as listed in Alexandria.

Lattice parameters (Å, degrees): 6.080 3.587 8.898 90.00 98.44 90.00
Fractional coordinates of all 12 atoms:
Na 0.149 0.250 0.193
Na 0.851 0.750 0.807
Ca 0.255 0.750 0.531
Ca 0.745 0.250 0.469
Pb 0.332 0.250 0.847
Pb 0.668 0.750 0.153
O 0.045 0.250 0.657
O 0.253 0.750 0.981
O 0.489 0.750 0.352
O 0.511 0.250 0.648
O 0.747 0.250 0.019
O 0.955 0.750 0.343

Results
**Total magnetic moment**: 0.00 μB/f.u.
**Uncorrected formation energy**: -1.630 eV per atom

---

[5]
First-principles (PBE) data for NaCa2PdO after structural relaxation, as listed in Alexandria.

Lattice parameters (Å, degrees): 4.704 4.704 4.614 90.00 90.00 90.00
Fractional coordinates of all 5 atoms:
Na 0.000 0.000 0.000
Ca 0.000 0.500 0.500
Ca 0.500 0.000 0.500
Pd 0.500 0.500 0.000
O 0.000 0.000 0.500

Results
**Total magnetic moment**: 0.00 μB/f.u.
**Uncorrected formation energy**: -1.247 eV per atom

---

[6]
First-principles (PBE) data for NaCaPd2O after structural relaxation, as listed in Alexandria.

Lattice parameters (Å, degrees): 4.844 4.844 4.193 90.00 90.00 90.00
Fractional coordinates of all 5 atoms:
Na 0.000 0.000 0.000
Ca 0.500 0.500 0.500
Pd 0.000 0.500 0.000
Pd 0.500 0.000 0.000
O 0.000 0.000 0.500

Results
**Total magnetic moment**: 0.00 μB/f.u.
**Uncorrected formation energy**: 0.103 eV per atom

---

[7]
First-principles (PBE) data for Na3CaPm2O6 after structural relaxation, as listed in Alexandria.

Lattice parameters (Å, degrees): 6.110 6.110 5.959 99.82 99.82 120.01
Fractional coordinates of all 12 atoms:
Na 0.000 0.000 0.000
Na 0.338 0.662 0.000
Na 0.662 0.338 0.000
Ca 0.500 0.500 0.500
Pm 0.167 0.833 0.500
Pm 0.833 0.167 0.500
O 0.088 0.427 0.281
O 0.235 0.235 0.721
O 0.427 0.088 0.281
O 0.573 0.912 0.719
O 0.765 0.765 0.279
O 0.912 0.573 0.719

Results
**Total magnetic moment**: 1.14 μB/f.u.
**Uncorrected formation energy**: -2.388 eV per atom

---

[8]
First-principles (PBE) data for NaCa2PmO4 after structural relaxation, as listed in Alexandria.

Lattice parameters (Å, degrees): 5.888 3.489 5.950 90.00 108.19 90.00
Fractional coordinates of all 8 atoms:
Na 0.000 0.000 0.000
Ca 0.000 0.500 0.500
Ca 0.500 0.000 0.500
Pm 0.500 0.500 0.000
O 0.261 0.000 0.754
O 0.269 0.500 0.263
O 0.731 0.500 0.737
O 0.739 0.000 0.246

Results
**Total magnetic moment**: 0.00 μB/f.u.
**Uncorrected formation energy**: -2.775 eV per atom

---

Calculated total energy values, unit eV/atom, following the record order: -5.25; -5.22; -5.30; -5.28; -4.34; -3.63; -6.16; -6.51.